Computed, not measured: a relaxed Ce3Pu2Ge2 crystal at the GGA-PBE level of DFT.

Structure (POSCAR):
```
Ce3Pu2Ge2
1.0
-1.736 2.573 9.605
1.736 -2.573 9.605
1.736 2.573 -9.605
Ce Pu Ge
3 2 2
Direct
0.000 0.000 0.000
0.312 0.812 0.500
0.688 0.188 0.500
0.425 0.425 0.000
0.575 0.575 0.000
0.149 0.649 0.500
0.851 0.351 0.500
```

Results
VASP energy in eV per atom: -8.283
Density of states at the Fermi level in states/eV per cell: 11.93

=====

Computed, not measured: a relaxed CePu5Ge3 crystal at the GGA-PBE level of DFT.

Structure (POSCAR):
```
CePu5Ge3
1.0
8.854 0.000 0.000
-4.427 7.667 0.000
0.000 0.000 6.314
Ce Pu Ge
2 10 6
Direct
0.000 0.000 0.000
0.000 0.000 0.500
0.000 0.337 0.250
0.000 0.663 0.750
0.333 0.667 0.000
0.333 0.667 0.500
0.337 0.000 0.250
0.337 0.337 0.750
0.663 0.000 0.750
0.663 0.663 0.250
0.667 0.333 0.000
0.667 0.333 0.500
0.000 0.330 0.750
0.000 0.670 0.250
0.330 0.000 0.750
0.330 0.330 0.250
0.670 0.000 0.250
0.670 0.670 0.750
```

Results
Energy above the most stable polymorph in this dataset in meV/atom: 0
VASP energy in eV per atom: -10.558
Density of states at the Fermi level in states/eV per cell: 53.67

=====

Computed, not measured: a relaxed Ce6PuGe3 crystal at the GGA-PBE level of DFT.

Structure (POSCAR):
```
Ce6PuGe3
1.0
0.000 5.360 6.528
4.093 0.000 6.528
4.093 5.360 0.000
Ce Pu Ge
6 1 3
Direct
0.085 0.654 0.915
0.229 0.771 0.229
0.346 0.915 0.654
0.654 0.085 0.346
0.771 0.229 0.771
0.915 0.346 0.085
0.000 0.000 0.000
0.250 0.250 0.250
0.500 0.500 0.500
0.750 0.750 0.750
```

Results
VASP energy in eV per atom: -6.608
Density of states at the Fermi level in states/eV per cell: 10.05

=====

Computed, not measured: a relaxed Ce8PuGe5 crystal at the GGA-PBE level of DFT.

Structure (POSCAR):
```
Ce8PuGe5
1.0
-4.356 4.356 4.517
4.356 -4.356 4.517
4.356 4.356 -4.517
Ce Pu Ge
8 1 5
Direct
0.030 0.136 0.772
0.264 0.471 0.639
0.365 0.258 0.228
0.375 0.736 0.207
0.529 0.167 0.793
0.742 0.970 0.107
0.833 0.625 0.361
0.864 0.635 0.893
0.500 0.500 0.000
0.010 0.382 0.154
0.144 0.990 0.372
0.227 0.856 0.846
0.618 0.773 0.628
0.750 0.250 0.500
```

Results
VASP energy in eV per atom: -6.617
Density of states at the Fermi level in states/eV per cell: 16.63

=====

Computed, not measured: a relaxed Ce2PuGe2 crystal at the GGA-PBE level of DFT.

Structure (POSCAR):
```
Ce2PuGe2
1.0
7.719 0.000 0.000
0.000 7.719 0.000
0.000 0.000 4.194
Ce Pu Ge
4 2 4
Direct
0.180 0.320 0.000
0.320 0.820 0.000
0.680 0.180 0.000
0.820 0.680 0.000
0.000 0.000 0.500
0.500 0.500 0.500
0.118 0.618 0.500
0.382 0.118 0.500
0.618 0.882 0.500
0.882 0.382 0.500
```

Results
VASP energy in eV per atom: -7.677
Density of states at the Fermi level in states/eV per cell: 27.04

=====

Computed, not measured: a relaxed Ce5PuGe3 crystal at the GGA-PBE level of DFT.

Structure (POSCAR):
```
Ce5PuGe3
1.0
8.991 0.000 0.000
-4.495 7.786 0.000
0.000 0.000 6.289
Ce Pu Ge
10 2 6
Direct
0.000 0.326 0.250
0.000 0.674 0.750
0.326 0.000 0.250
0.326 0.326 0.750
0.333 0.667 0.000
0.333 0.667 0.500
0.667 0.333 0.000
0.667 0.333 0.500
0.674 0.000 0.750
0.674 0.674 0.250
0.000 0.000 0.000
0.000 0.000 0.500
0.000 0.339 0.750
0.000 0.661 0.250
0.339 0.000 0.750
0.339 0.339 0.250
0.661 0.000 0.250
0.661 0.661 0.750
```

Results
VASP energy in eV per atom: -6.938
Density of states at the Fermi level in states/eV per cell: 38.64

=====

Computed, not measured: a relaxed Ce2PuGe6 crystal at the GGA-PBE level of DFT.

Structure (POSCAR):
```
Ce2PuGe6
1.0
7.553 0.000 0.000
-3.776 6.541 0.000
0.000 0.000 4.021
Ce Pu Ge
2 1 6
Direct
0.333 0.667 0.000
0.667 0.333 0.000
0.000 0.000 0.000
0.000 0.332 0.500
0.000 0.668 0.500
0.332 0.000 0.500
0.332 0.332 0.500
0.668 0.000 0.500
0.668 0.668 0.500
```

Results
VASP energy in eV per atom: -6.471
Density of states at the Fermi level in states/eV per cell: 16.18

=====

Computed, not measured: a relaxed Ce2Pu3Ge3 crystal at the GGA-PBE level of DFT.

Structure (POSCAR):
```
Ce2Pu3Ge3
1.0
-1.864 2.546 9.482
1.864 -2.546 9.482
1.864 2.546 -9.482
Ce Pu Ge
2 3 3
Direct
0.229 0.229 0.000
0.771 0.771 0.000
0.117 0.617 0.500
0.500 0.500 0.000
0.883 0.383 0.500
0.000 0.000 0.000
0.360 0.860 0.500
0.640 0.140 0.500
```

Results
Energy above the most stable polymorph in this dataset in meV/atom: 40
VASP energy in eV per atom: -8.976
Density of states at the Fermi level in states/eV per cell: 19.38

=====

Computed, not measured: a relaxed CePu2Ge3 crystal at the GGA-PBE level of DFT.

Structure (POSCAR):
```
CePu2Ge3
1.0
3.270 0.000 0.000
0.000 3.270 0.000
0.000 0.000 12.441
Ce Pu Ge
1 2 3
Direct
0.000 0.000 0.000
0.000 0.000 0.334
0.000 0.000 0.666
0.500 0.500 0.170
0.500 0.500 0.500
0.500 0.500 0.830
```

Results
Energy above the most stable polymorph in this dataset in meV/atom: 0
VASP energy in eV per atom: -8.575
Density of states at the Fermi level in states/eV per cell: 16.27

=====

Computed, not measured: a relaxed Ce4Pu4Ge3 crystal at the GGA-PBE level of DFT.

Structure (POSCAR):
```
Ce4Pu4Ge3
1.0
3.732 0.000 0.000
0.054 3.832 0.000
1.384 0.536 16.908
Ce Pu Ge
4 4 3
Direct
0.025 0.460 0.371
0.458 0.988 0.097
0.542 0.012 0.903
0.975 0.540 0.629
0.052 0.483 0.184
0.259 0.955 0.460
0.741 0.045 0.540
0.948 0.517 0.816
0.000 0.500 0.000
0.453 0.026 0.725
0.547 0.974 0.275
```

Results
VASP energy in eV per atom: -8.969
Density of states at the Fermi level in states/eV per cell: 20.13

=====

Computed, not measured: a relaxed Ce3Pu2Ge4 crystal at the GGA-PBE level of DFT.

Structure (POSCAR):
```
Ce3Pu2Ge4
1.0
7.895 0.000 0.000
0.000 7.865 0.000
-3.019 0.000 7.139
Ce Pu Ge
6 4 8
Direct
0.000 0.000 0.000
0.000 0.500 0.500
0.316 0.193 0.445
0.316 0.307 0.945
0.684 0.693 0.055
0.684 0.807 0.555
0.264 0.671 0.295
0.264 0.829 0.795
0.736 0.171 0.205
0.736 0.329 0.705
0.006 0.120 0.615
0.006 0.380 0.115
0.422 0.533 0.686
0.422 0.967 0.186
0.578 0.033 0.814
0.578 0.467 0.314
0.994 0.620 0.885
0.994 0.880 0.385
```

Results
Energy above the most stable polymorph in this dataset in meV/atom: 0
VASP energy in eV per atom: -7.833
Density of states at the Fermi level in states/eV per cell: 39.59

=====

Computed, not measured: a relaxed Ce4PuGe3 crystal at the GGA-PBE level of DFT.

Structure (POSCAR):
```
Ce4PuGe3
1.0
9.726 -2.103 0.000
9.726 2.103 0.000
-1.108 0.000 4.552
Ce Pu Ge
4 1 3
Direct
0.118 0.118 0.007
0.235 0.235 0.758
0.765 0.765 0.242
0.882 0.882 0.993
0.000 0.000 0.500
0.375 0.375 0.496
0.500 0.500 0.000
0.625 0.625 0.504
```

Results
VASP energy in eV per atom: -6.944
Density of states at the Fermi level in states/eV per cell: 17.28

=====

Number 1: formation enthalpy at 0 K -219.8 kJ/mol of formula units. Number 2: formation enthalpy at 0 K -344.7 kJ/mol of formula units. Number 3: formation enthalpy at 0 K -221.1 kJ/mol of formula units. Number 4: formation enthalpy at 0 K -748.0 kJ/mol of formula units. Number 5: formation enthalpy at 0 K -284.8 kJ/mol of formula units. Number 6: formation enthalpy at 0 K -442.9 kJ/mol of formula units. Number 7: formation enthalpy at 0 K -418.0 kJ/mol of formula units. Number 8: formation enthalpy at 0 K -298.2 kJ/mol of formula units. Number 9: formation enthalpy at 0 K -289.7 kJ/mol of formula units. Number 10: formation enthalpy at 0 K -361.6 kJ/mol of formula units. Number 11: formation enthalpy at 0 K -537.0 kJ/mol of formula units. Number 12: formation enthalpy at 0 K -350.7 kJ/mol of formula units.